The following is a DFT calculation (PBE) of Cs2RbPa2S7 after structural relaxation.

a = 5.321 Å, b = 5.321 Å, c = 14.598 Å
α = 100.46°, β = 100.46°, γ = 89.99°
Fractional positions:
Cs (0.186, 0.186, 0.373)
Cs (0.814, 0.814, 0.627)
Rb (0.000, 0.000, 0.000)
Pa (0.406, 0.406, 0.811)
Pa (0.594, 0.594, 0.189)
S (0.091, 0.591, 0.182)
S (0.316, 0.316, 0.632)
S (0.409, 0.909, 0.818)
S (0.500, 0.500, 0.000)
S (0.591, 0.091, 0.182)
S (0.684, 0.684, 0.368)
S (0.909, 0.409, 0.818)

## Properties
As for the total energy: -5.66 eV/atom. For the formation energy without anion corrections, the calculation gives -1678 kJ/mol of formula units. The density of states at the Fermi level is 6.13 states/eV/f.u. The spin magnetization is 0.0 μB/f.u.